# LaNi2F6 | Alexandria via LeMat-Bulk | PBE with a Hubbard U | optimized geometry
# **E_tot**: -5.01 eV per atom
# **Space group**: P-31m (162)
data_LaNi2F6
_chemical_formula_sum 'La1 Ni2 F6'
_cell_length_a 5.214
_cell_length_b 5.388
_cell_length_c 5.388
_cell_angle_alpha 120.00
_cell_angle_beta 90.00
_cell_angle_gamma 90.00
_symmetry_space_group_name_H-M 'P 1'
_symmetry_Int_Tables_number 1
loop_
_symmetry_equiv_pos_as_xyz
'x,y,z'
loop_
_atom_site_label
_atom_site_type_symbol
_atom_site_fract_x
_atom_site_fract_y
_atom_site_fract_z
_atom_site_occupancy
F1 F 0.725 0.649 0.649 1
F2 F 0.275 0.000 0.649 1
F3 F 0.725 0.000 0.351 1
F4 F 0.275 0.649 0.000 1
F5 F 0.725 0.351 0.000 1
F6 F 0.275 0.351 0.351 1
Ni1 Ni 0.500 0.667 0.333 1
Ni2 Ni 0.500 0.333 0.667 1
La1 La 0.000 0.000 0.000 1

# BaCoPt2F | Alexandria via LeMat-Bulk | PBE with a Hubbard U | optimized geometry
# **E_tot**: -3.61 eV per atom
# **Space group**: P4/mmm (123)
data_BaCoPt2F
_chemical_formula_sum 'Ba1 Co1 Pt2 F1'
_cell_length_a 5.564
_cell_length_b 4.694
_cell_length_c 5.564
_cell_angle_alpha 90.00
_cell_angle_beta 90.00
_cell_angle_gamma 90.00
_symmetry_space_group_name_H-M 'P 1'
_symmetry_Int_Tables_number 1
loop_
_symmetry_equiv_pos_as_xyz
'x,y,z'
loop_
_atom_site_label
_atom_site_type_symbol
_atom_site_fract_x
_atom_site_fract_y
_atom_site_fract_z
_atom_site_occupancy
F1 F 0.000 0.500 0.000 1
Pt1 Pt 0.000 0.000 0.500 1
Pt2 Pt 0.500 0.000 0.000 1
Co1 Co 0.500 0.500 0.500 1
Ba1 Ba 0.000 0.000 0.000 1